DFT (PBE) results for crystalline AgPt2Pb at its relaxed geometry.

Summary:
Its volume is 73.02 Å³ per cell. The value obtained for the formation energy is -0.009 eV per atom.

The structure in POSCAR format:
```
AgPt2Pb
1.0
-0.285 0.177 4.198
-4.167 -0.549 -0.259
0.524 -4.079 0.208
Pb Ag Pt
1 1 2
direct
0.000 0.500 0.500 Pb
0.500 0.000 0.500 Ag
0.000 0.000 0.000 Pt
0.500 0.500 0.000 Pt
```